# 1
The following is a DFT calculation (PBE) of a geometry-optimized Nd4HoHg4 structure.

Results
As for the calculated total energy: -3.0242 eV/atom. Its crystal system is tetragonal. Its space-group type is No. 86. The calculation puts the magnetization at 0.0 Bohr magnetons per cell. For the density of states at the Fermi level, the calculation gives 0.77 states/eV per atom.

Lattice parameters (Å, degrees): 5.7518 9.6020 9.6020 90.00 90.00 90.00
Element x y z (fractional)
1 Nd 0.6101 0.1587 0.4128
2 Hg 0.1142 0.6974 0.6020
3 Hg 0.8858 0.6020 0.3026
4 Nd 0.1101 0.9128 0.3413
5 Nd 0.8899 0.6587 0.9128
6 Hg 0.3858 0.8026 0.8980
7 Ho 0.0000 0.0000 0.0000
8 Nd 0.3899 0.4128 0.8413
9 Hg 0.6142 0.1020 0.8026
10 Hg 0.6142 0.8980 0.1974
11 Nd 0.6101 0.8413 0.5872
12 Nd 0.8899 0.3413 0.0872
13 Nd 0.3899 0.5872 0.1587
14 Hg 0.3858 0.1974 0.1020
15 Ho 0.5000 0.5000 0.5000
16 Hg 0.8858 0.3980 0.6974
17 Nd 0.1101 0.0872 0.6587
18 Hg 0.1142 0.3026 0.3980


# 2
The following is a DFT calculation (PBE) of a geometry-optimized NdHoHgPd structure.

Results
As for the calculated total energy: -4.3097 eV/atom. Its crystal system is cubic. Its space-group type is No. 216. The calculation puts the magnetization at 0.0 Bohr magnetons per cell. For the density of states at the Fermi level, the calculation gives 0.76 states/eV per atom.

Lattice parameters (Å, degrees): 5.1893 5.1893 5.1893 60.00 60.00 60.00
Element x y z (fractional)
1 Hg 0.5000 0.5000 0.5000
2 Pd 0.0000 0.0000 0.0000
3 Ho 0.2500 0.2500 0.2500
4 Nd 0.7500 0.7500 0.7500


# 3
The following is a DFT calculation (PBE) of a geometry-optimized PrNdHo2Hg4 structure.

Results
As for the calculated total energy: -2.9517 eV/atom. Its crystal system is trigonal. Its space-group type is No. 166. The calculation puts the magnetization at 1.2 Bohr magnetons per cell. For the density of states at the Fermi level, the calculation gives 1.15 states/eV per atom.

Lattice parameters (Å, degrees): 5.3538 5.3538 9.2636 73.20 73.20 60.00
Last column: magnetic moment on the atom in μB.
Element x y z (fractional)
1 Hg 0.1245 0.1245 0.6265  0.01
2 Nd 0.0000 0.0000 0.0000  0.13
3 Ho 0.2502 0.2502 0.2495  0.20
4 Hg 0.8755 0.8755 0.3735  0.01
5 Pr 0.5000 0.5000 0.5000  0.15
6 Hg 0.6256 0.6256 0.1233  0.01
7 Ho 0.7498 0.7498 0.7505  0.20
8 Hg 0.3744 0.3744 0.8767  0.01


# 4
The following is a DFT calculation (PBE) of a geometry-optimized NdHoHgRh structure.

Results
As for the calculated total energy: -4.8081 eV/atom. Its crystal system is cubic. Its space-group type is No. 216. The calculation puts the magnetization at 0.0 Bohr magnetons per cell. For the density of states at the Fermi level, the calculation gives 0.62 states/eV per atom.

Lattice parameters (Å, degrees): 5.1274 5.1274 5.1274 60.00 60.00 60.00
Element x y z (fractional)
1 Nd 0.0000 0.0000 0.0000
2 Rh 0.7500 0.7500 0.7500
3 Hg 0.2500 0.2500 0.2500
4 Ho 0.5000 0.5000 0.5000


# 5
The following is a DFT calculation (PBE) of a geometry-optimized NdHoHgRu structure.

Results
As for the calculated total energy: -5.1365 eV/atom. The calculation puts the distance to the lowest polymorph of the same formula at 0 meV/atom. Its crystal system is tetragonal. Its space-group type is No. 99. The calculation puts the magnetization at 0.0 Bohr magnetons per cell. For the density of states at the Fermi level, the calculation gives 0.83 states/eV per atom.

Lattice parameters (Å, degrees): 3.5195 3.5195 7.6554 90.00 90.00 90.00
Element x y z (fractional)
1 Ho 0.5000 0.5000 0.3498
2 Nd 0.5000 0.5000 0.7903
3 Ru 0.0000 0.0000 0.5577
4 Hg 0.0000 0.0000 0.0869


# 6
The following is a DFT calculation (PBE) of a geometry-optimized NdHoHgRu structure.

Results
As for the calculated total energy: -5.0241 eV/atom. The calculation puts the distance to the lowest polymorph of the same formula at 112 meV/atom. Its crystal system is cubic. Its space-group type is No. 216. The calculation puts the magnetization at 0.0 Bohr magnetons per cell. For the density of states at the Fermi level, the calculation gives 0.80 states/eV per atom.

Lattice parameters (Å, degrees): 5.1027 5.1027 5.1027 60.00 60.00 60.00
Element x y z (fractional)
1 Ru 0.7500 0.7500 0.7500
2 Nd 0.0000 0.0000 0.0000
3 Hg 0.2500 0.2500 0.2500
4 Ho 0.5000 0.5000 0.5000


# 7
The following is a DFT calculation (PBE) of a geometry-optimized NdHo2ScHg4 structure.

Results
As for the calculated total energy: -3.1274 eV/atom. Its crystal system is trigonal. Its space-group type is No. 166. The calculation puts the magnetization at 0.6 Bohr magnetons per cell. For the density of states at the Fermi level, the calculation gives 1.09 states/eV per atom.

Lattice parameters (Å, degrees): 5.2005 5.2005 9.1622 73.51 73.51 60.00
Last column: magnetic moment on the atom in μB.
Element x y z (fractional)
1 Hg 0.6187 0.6187 0.1438  0.01
2 Nd 0.0000 0.0000 0.0000  0.09
3 Ho 0.7527 0.7527 0.7418  0.09
4 Hg 0.3813 0.3813 0.8562  0.01
5 Hg 0.8720 0.8720 0.3839  0.01
6 Hg 0.1280 0.1280 0.6161  0.01
7 Sc 0.5000 0.5000 0.5000  0.12
8 Ho 0.2473 0.2473 0.2582  0.09


# 8
The following is a DFT calculation (PBE) of a geometry-optimized NdHoScHg structure.

Results
As for the calculated total energy: -4.0750 eV/atom. Its crystal system is cubic. Its space-group type is No. 216. The calculation puts the magnetization at 0.5 Bohr magnetons per cell. For the density of states at the Fermi level, the calculation gives 1.42 states/eV per atom.

Lattice parameters (Å, degrees): 5.3697 5.3697 5.3697 60.00 60.00 60.00
Last column: magnetic moment on the atom in μB.
Element x y z (fractional)
1 Ho 0.7500 0.7500 0.7500  0.12
2 Nd 0.2500 0.2500 0.2500  0.06
3 Hg 0.5000 0.5000 0.5000  0.00
4 Sc 0.0000 0.0000 0.0000  0.19